Entry a
Crystalline Pr3PdAu2 at its relaxed geometry. Source: the Alexandria database, functional PBE.

Lattice parameters (Å, degrees): 8.269 8.269 3.717 90.00 90.00 142.85
Fractional positions:
Pr: 0.000 0.000 0.000
Pr: 0.338 0.662 0.000
Pr: 0.662 0.338 0.000
Pd: 0.500 0.500 0.500
Au: 0.169 0.831 0.500
Au: 0.831 0.169 0.500

For the volume, the calculation gives 153.5 Å³ per cell. The spin magnetization is 0.0 μB per cell. Its symmetry is Cmmm.

---

Entry b
Crystalline Pr3PdAu2 at its relaxed geometry. Source: the Alexandria database, functional PBE.

Lattice parameters (Å, degrees): 7.635 7.635 8.456 106.03 106.03 47.16
Fractional positions:
Pr: 0.002 0.998 0.750
Pr: 0.343 0.345 0.922
Pr: 0.345 0.343 0.422
Pr: 0.655 0.657 0.578
Pr: 0.657 0.655 0.078
Pr: 0.998 0.002 0.250
Pd: 0.498 0.502 0.250
Pd: 0.502 0.498 0.750
Au: 0.170 0.172 0.586
Au: 0.172 0.170 0.086
Au: 0.828 0.830 0.914
Au: 0.830 0.828 0.414

For the volume, the calculation gives 344.6 Å³ per cell. The spin magnetization is 0.0 μB per cell. Its symmetry is C2/c.

---

Taking the most stable structure as the zero point, the relative energies in meV per atom are entry a 0; entry b 70.

---

Entry a
Crystalline PrPd6Au at its relaxed geometry. Source: the Alexandria database, functional PBE.

Lattice parameters (Å, degrees): 5.233 5.233 5.233 90.00 90.00 90.00
Fractional positions:
Pr: 0.000 0.000 0.000
Pd: 0.000 0.256 0.500
Pd: 0.000 0.744 0.500
Pd: 0.256 0.500 0.000
Pd: 0.500 0.000 0.256
Pd: 0.500 0.000 0.744
Pd: 0.744 0.500 0.000
Au: 0.500 0.500 0.500

For the volume, the calculation gives 143.3 Å³ per cell. The spin magnetization is 0.0 μB per cell. Its symmetry is Pm-3.

---

Entry b
Crystalline PrPd6Au at its relaxed geometry. Source: the Alexandria database, functional PBE.

Lattice parameters (Å, degrees): 5.773 5.773 4.180 90.00 90.00 90.06
Fractional positions:
Pr: 0.000 0.000 0.000
Pd: 0.000 0.500 0.000
Pd: 0.259 0.259 0.500
Pd: 0.259 0.741 0.500
Pd: 0.500 0.000 0.000
Pd: 0.741 0.259 0.500
Pd: 0.741 0.741 0.500
Au: 0.500 0.500 0.000

For the volume, the calculation gives 139.3 Å³ per cell. The spin magnetization is 0.0 μB per cell. Its symmetry is Cmmm.

---

Taking the most stable structure as the zero point, the relative energies in meV per atom are entry a 149; entry b 0.

---

Entry a
Crystalline PrPd2Au at its relaxed geometry. Source: the Alexandria database, functional PBE.

Lattice parameters (Å, degrees): 4.349 4.349 4.161 90.00 90.00 90.00
Fractional positions:
Pr: 0.000 0.000 0.000
Pd: 0.000 0.500 0.500
Pd: 0.500 0.000 0.500
Au: 0.500 0.500 0.000

For the volume, the calculation gives 78.7 Å³ per cell. The spin magnetization is 0.0 μB per cell. Its symmetry is P4/mmm.

---

Entry b
Crystalline PrPd2Au at its relaxed geometry. Source: the Alexandria database, functional PBE.

Lattice parameters (Å, degrees): 5.250 5.250 5.250 52.56 52.56 52.56
Fractional positions:
Pr: 0.000 0.000 0.000
Pd: 0.216 0.216 0.216
Pd: 0.784 0.784 0.784
Au: 0.500 0.500 0.500

For the volume, the calculation gives 84.5 Å³ per cell. The spin magnetization is 0.0 μB per cell. Its symmetry is R-3m.

---

Taking the most stable structure as the zero point, the relative energies in meV per atom are entry a 0; entry b 50.

---

Entry a
Crystalline PrSmPdAu at its relaxed geometry. Source: the Alexandria database, functional PBE.

Lattice parameters (Å, degrees): 5.186 5.186 5.186 60.00 60.00 60.00
Fractional positions:
Pr: 0.000 0.000 0.000
Sm: 0.500 0.500 0.500
Pd: 0.250 0.250 0.250
Au: 0.750 0.750 0.750

For the volume, the calculation gives 98.6 Å³ per cell. The spin magnetization is 0.0 μB per cell. Its symmetry is F-43m.

---

Entry b
Crystalline PrSmPdAu at its relaxed geometry. Source: the Alexandria database, functional PBE.

Lattice parameters (Å, degrees): 4.766 5.817 5.817 39.23 90.00 90.00
Fractional positions:
Pr: 0.000 0.000 0.000
Sm: 0.500 0.725 0.725
Pd: 0.000 0.275 0.275
Au: 0.500 0.444 0.444

For the volume, the calculation gives 102.0 Å³ per cell. The spin magnetization is 0.0 μB per cell. Its symmetry is Amm2.

---

Taking the most stable structure as the zero point, the relative energies in meV per atom are entry a 62; entry b 0.